Below is crystalline MnBiRuF2 at its relaxed geometry, with properties calculated at the GGA+U level.

CIF file:
```
data_MnBiRuF2
_chemical_formula_sum 'Mn1 Bi1 Ru1 F2'
_cell_length_a 4.3877
_cell_length_b 4.3877
_cell_length_c 6.0401
_cell_angle_alpha 90.00
_cell_angle_beta 90.00
_cell_angle_gamma 90.00
_symmetry_space_group_name_H-M 'P 1'
_symmetry_Int_Tables_number 1
loop_
_symmetry_equiv_pos_as_xyz
'x,y,z'
loop_
_atom_site_label
_atom_site_fract_x
_atom_site_fract_y
_atom_site_fract_z
_atom_site_occupancy
Mn1 0.0000 0.0000 0.0000 1
Bi1 0.0000 0.0000 0.5000 1
Ru1 0.5000 0.5000 0.0000 1
F1 0.0000 0.5000 0.5000 1
F2 0.5000 0.0000 0.5000 1
```

Results
Total magnetization ... 5.2 μB/f.u.
E_tot ... -22.6 eV/cell
Fermi-level density of states ... 7.08 states/eV/f.u.